No. 1
Density functional theory data (GGA-PBE) for a relaxed Pm3Sm4Dy4 crystal.

a b c (Å): 3.5248 5.7065 18.3877
angles (deg): 81.11 84.50 89.99
With the nearest neighbours (Å) after each atom.
Sites, in units of the cell vectors:
1 Pm 0.1369 0.6365 0.7274  2 Pm 3.52, 6 Dy 3.72-3.73, 6 Sm 3.74-3.93
2 Pm 0.8632 0.3635 0.2726  2 Pm 3.52, 6 Dy 3.72-3.73, 6 Sm 3.74-3.93
3 Pm 0.0000 0.0000 0.0000  2 Pm 3.52, 4 Sm 3.72, 8 Dy 3.73-3.74
4 Sm 0.5907 0.0912 0.8188  3 Dy 3.27-3.29, 2 Sm 3.52
5 Sm 0.2668 0.2665 0.4667  4 Dy 3.42-3.57, 6 Sm 3.52-3.57
6 Sm 0.7332 0.7335 0.5334  4 Dy 3.42-3.57, 6 Sm 3.52-3.57
7 Sm 0.4093 0.9088 0.1812  3 Dy 3.27-3.29, 2 Sm 3.52
8 Dy 0.5461 0.5461 0.9091  2 Sm 3.29, 3 Dy 3.29-3.52
9 Dy 0.4539 0.4539 0.0909  2 Sm 3.29, 3 Dy 3.29-3.52
10 Dy 0.3186 0.8186 0.3619  5 Sm 3.27-3.57, 2 Dy 3.52
11 Dy 0.6814 0.1814 0.6381  5 Sm 3.27-3.57, 2 Dy 3.52

Calculated values
**E**: -50.93 eV per cell
**Relative energy among the computed polymorphs**: 0 meV per atom
**Energy of formation from the pure elements**: 0.0555 eV per atom



No. 2
Density functional theory data (GGA-PBE) for a relaxed MgPdO2 crystal.

a b c (Å): 5.9685 5.9685 5.9685
angles (deg): 32.80 32.80 32.80
With the nearest neighbours (Å) after each atom.
Sites, in units of the cell vectors:
1 Mg 0.0000 0.0000 0.0000  2 O 1.91
2 O 0.8869 0.8869 0.8869  1 Mg 1.91
3 O 0.1131 0.1131 0.1131  1 Mg 1.91
4 Pd 0.5000 0.5000 0.5000  6 O 2.15

Calculated values
**E**: -19.56 eV per cell
**E_form (uncorrected)**: -69.0 kJ/mol of atoms



| no. | density of states at the Fermi level (states/eV per cell) |
| --- | --- |
| 1 | 16.4 |
| 2 | 0.4 |